This record from Alexandria via LeMat-Bulk describes an optimized crystal structure of TmPa2Ge3. The functional is PBE.

Calculated values
M_tot = 0.0 μB/f.u.
Formation energy from the elements = -0.4801 eV per atom

Cell: 6.142 15.849 6.273 Å, 90.00 120.58 90.00°
Space group P2_1/c (No. 14)
Asymmetric unit:
Tm  0.248  0.081  0.154 (multiplicity 4)
Pa  0.249  0.749  0.660 (multiplicity 4)
Pa  0.252  0.082  0.654 (multiplicity 4)
Ge  0.245  0.584  0.876 (multiplicity 4)
Ge  0.251  0.249  0.871 (multiplicity 4)
Ge  0.253  0.583  0.379 (multiplicity 4)

***

This record from Alexandria via LeMat-Bulk describes an optimized crystal structure of MnTcIr2. The functional is PBE.

Calculated values
M_tot = 0.0 μB/f.u.
Energy above the lowest structure with this stoichiometry = 1112 meV per atom
Formation energy from the elements = 0.9331 eV per atom

Cell: 5.362 5.362 11.055 Å, 90.00 90.00 90.00°
Space group I-42d (No. 122)
Asymmetric unit:
Mn  0.000  0.000  0.000 (multiplicity 4)
Tc  0.000  0.000  0.500 (multiplicity 4)
Ir  0.230  0.250  0.125 (multiplicity 8)

***

This record from Alexandria via LeMat-Bulk describes an optimized crystal structure of Ta2TcBr. The functional is PBE.

Calculated values
M_tot = 0.0 μB/f.u.
Energy above the lowest structure with this stoichiometry = 972 meV per atom
Formation energy without anion corrections = 1.04 eV/atom

Cell: 3.993 3.993 18.905 Å, 90.00 90.00 90.00°
Space group I-42d (No. 122)
Asymmetric unit:
Ta  0.244  0.250  0.125 (multiplicity 8)
Tc  0.000  0.000  0.000 (multiplicity 4)
Br  0.000  0.000  0.500 (multiplicity 4)

***

This record from Alexandria via LeMat-Bulk describes an optimized crystal structure of PaZnNi2. The functional is PBE.

Calculated values
M_tot = 0.0 μB/f.u.
Formation energy from the elements = -0.2688 eV per atom

Cell: 3.045 3.045 6.531 Å, 90.00 90.00 90.00°
Space group P4/mmm (No. 123)
Asymmetric unit:
Pa  0.000  0.000  0.000 (multiplicity 1)
Zn  0.000  0.000  0.500 (multiplicity 1)
Ni  0.500  0.500  0.294 (multiplicity 2)

***

no.,ρ (Mg/m³)
1,10.73
2,11.23
3,11.90
4,11.35